Record 1
Computed, not measured: a relaxed Tb6Nd3Sm crystal at the PBE-GGA level of DFT.

Cell lengths 6.393, 10.998, 10.998 Å; angles 119.98, 90.00, 90.00 degrees
Fractional positions:
Sm  0.127  0.193  0.807
Sm  0.627  0.807  0.193
Nd  0.962  0.062  0.291
Nd  0.962  0.709  0.938
Nd  0.462  0.938  0.709
Nd  0.462  0.291  0.062
Nd  0.573  0.613  0.387
Nd  0.073  0.387  0.613
Tb  0.873  0.948  0.529
Tb  0.650  0.273  0.727
Tb  0.050  0.377  0.288
Tb  0.550  0.288  0.377
Tb  0.150  0.727  0.273
Tb  0.373  0.529  0.948
Tb  0.866  0.038  0.962
Tb  0.873  0.471  0.052
Tb  0.366  0.962  0.038
Tb  0.550  0.623  0.712
Tb  0.373  0.052  0.471
Tb  0.050  0.712  0.623

## Properties
The space-group type is Cmc2_1, No. 36. The density of states at the Fermi level is 27.40 states/eV per cell. For the energy above the lowest structure with this stoichiometry, the calculation gives 0 meV per atom. The calculated formation energy is 1.46 eV/f.u.

Record 2
Computed, not measured: a relaxed Na2LiCd crystal at the PBE-GGA level of DFT.

Cell lengths 3.996, 3.996, 6.762 Å; angles 90.00, 90.00, 90.00 degrees
Fractional positions:
Cd  0.500  0.500  0.000
Li  0.500  0.500  0.500
Na  0.000  0.000  0.753
Na  0.000  0.000  0.247

## Properties
The space-group type is P4/mmm, No. 123. The density of states at the Fermi level is 1.75 states/eV per cell. The calculated formation energy is -0.04 eV/f.u.

Record 3
Computed, not measured: a relaxed PuUCoOs crystal at the PBE-GGA level of DFT.

Cell lengths 4.736, 4.736, 4.736 Å; angles 60.00, 60.00, 60.00 degrees
Last column: magnetic moment on the atom in μB.
Fractional positions:
Co  0.750  0.750  0.750  -0.94
Os  0.250  0.250  0.250  -0.45
U  0.500  0.500  0.500  2.05
Pu  0.000  0.000  0.000  5.01

## Properties
The space-group type is F-43m, No. 216. The density of states at the Fermi level is 9.22 states/eV per cell. For the energy above the lowest structure with this stoichiometry, the calculation gives 206 meV per atom. The calculated formation energy is 0.18 eV/f.u.

Record 4
Computed, not measured: a relaxed La4YCr crystal at the PBE-GGA level of DFT.

Cell lengths 6.609, 6.609, 6.609 Å; angles 60.00, 60.00, 60.00 degrees
Last column: magnetic moment on the atom in μB.
Fractional positions:
La  0.879  0.374  0.374  0.05
La  0.374  0.374  0.879  0.05
La  0.374  0.879  0.374  0.05
La  0.374  0.374  0.374  0.05
Cr  0.000  0.000  0.000  -3.94
Y  0.750  0.750  0.750  0.17

## Properties
The space-group type is F-43m, No. 216. The density of states at the Fermi level is 9.42 states/eV per cell. The calculated formation energy is 3.36 eV/f.u.

Record 5
Computed, not measured: a relaxed Ta2AuCl crystal at the PBE-GGA level of DFT.

Cell lengths 4.604, 4.604, 4.604 Å; angles 60.00, 60.00, 60.00 degrees
Fractional positions:
Au  0.500  0.500  0.500
Cl  0.000  0.000  0.000
Ta  0.750  0.750  0.750
Ta  0.250  0.250  0.250

## Properties
The space-group type is Fm-3m, No. 225. The uncorrected formation energy is 349 meV/atom. The density of states at the Fermi level is 2.48 states/eV per cell. For the energy above the lowest structure with this stoichiometry, the calculation gives 496 meV per atom.

Record 6
Computed, not measured: a relaxed AcPtPb2 crystal at the PBE-GGA level of DFT.

Cell lengths 4.860, 10.085, 10.877 Å; angles 117.62, 102.91, 90.00 degrees
Fractional positions:
Pb  0.922  0.422  0.844
Pb  0.078  0.578  0.156
Pb  0.695  0.354  0.390
Pb  0.082  0.082  0.164
Pb  0.305  0.646  0.610
Pb  0.918  0.918  0.836
Pb  0.305  0.964  0.610
Pb  0.695  0.036  0.390
Pt  0.146  0.403  0.292
Pt  0.854  0.111  0.708
Pt  0.854  0.597  0.708
Pt  0.146  0.889  0.292
Ac  0.705  0.705  0.411
Ac  0.500  0.738  0.000
Ac  0.295  0.295  0.589
Ac  0.500  0.262  0.000

## Properties
The space-group type is Immm, No. 71. The density of states at the Fermi level is 6.93 states/eV per cell. For the energy above the lowest structure with this stoichiometry, the calculation gives 23 meV per atom. The calculated formation energy is -2.25 eV/f.u.

Which formula does entry 4 have? La4YCr